w:
Below is a relaxed CrTe2Cl crystal, with properties calculated at the PBE-GGA level.

Summary:
For the theoretical density, the calculation gives 4.369 g cm⁻³.

a b c (Å): 7.4179 7.4179 7.4179
angles (deg): 152.38 136.23 52.54
Sites, in units of the cell vectors:
Cr (0.0000, 0.0000, 0.0000)
Te (0.4274, 0.4274, 0.0000)
Te (0.8449, 0.3449, 0.5000)
Cl (0.1213, 0.6213, 0.5000)



x:
Below is a relaxed CrTe2Cl crystal, with properties calculated at the PBE-GGA level.

Summary:
For the theoretical density, the calculation gives 6.417 g cm⁻³.

a b c (Å): 5.0053 5.0053 5.0053
angles (deg): 60.00 60.00 60.00
Sites, in units of the cell vectors:
Cr (0.0000, 0.0000, 0.0000)
Te (0.2500, 0.2500, 0.2500)
Te (0.7500, 0.7500, 0.7500)
Cl (0.5000, 0.5000, 0.5000)



y:
Below is a relaxed CrTe2Cl crystal, with properties calculated at the PBE-GGA level.

Summary:
For the theoretical density, the calculation gives 4.823 g cm⁻³.

a b c (Å): 8.3914 8.3914 8.3914
angles (deg): 28.38 28.38 28.38
Sites, in units of the cell vectors:
Cr (0.0000, 0.0000, 0.0000)
Te (0.3889, 0.3889, 0.3889)
Te (0.6111, 0.6111, 0.6111)
Cl (0.5000, 0.5000, 0.5000)



z:
Below is a relaxed CrTe2Cl crystal, with properties calculated at the PBE-GGA level.

Summary:
For the theoretical density, the calculation gives 5.148 g cm⁻³.

a b c (Å): 3.1759 3.1759 10.9584
angles (deg): 90.00 90.00 90.00
Sites, in units of the cell vectors:
Cr (0.0000, 0.0000, 0.0000)
Te (0.0000, 0.0000, 0.4933)
Te (0.5000, 0.5000, 0.1713)
Cl (0.5000, 0.5000, 0.8643)



Most stable of them? w.



w:
Below is a relaxed CrTe2Cl crystal, with properties calculated at the PBE-GGA level.

Summary:
For the theoretical density, the calculation gives 5.610 g cm⁻³.

a b c (Å): 10.6889 10.6889 10.6889
angles (deg): 17.96 17.96 17.96
Sites, in units of the cell vectors:
Cr (0.0000, 0.0000, 0.0000)
Te (0.0859, 0.0859, 0.0859)
Te (0.9141, 0.9141, 0.9141)
Cl (0.5000, 0.5000, 0.5000)



x:
Below is a relaxed CrTe2Cl crystal, with properties calculated at the PBE-GGA level.

Summary:
For the theoretical density, the calculation gives 5.739 g cm⁻³.

a b c (Å): 6.4661 6.4661 6.4661
angles (deg): 148.71 134.68 56.10
Sites, in units of the cell vectors:
Cr (0.0000, 0.0000, 0.0000)
Te (0.1975, 0.6975, 0.5000)
Te (0.8025, 0.3025, 0.5000)
Cl (0.5000, 0.5000, 0.0000)



Most stable of them? x.



w:
Below is a relaxed CrTe2Cl crystal, with properties calculated at the PBE-GGA level.

Summary:
For the theoretical density, the calculation gives 4.867 g cm⁻³.

a b c (Å): 4.1378 4.1378 6.8282
angles (deg): 90.00 90.00 90.00
Sites, in units of the cell vectors:
Cr (0.0000, 0.0000, 0.0000)
Te (0.0000, 0.5000, 0.5000)
Te (0.5000, 0.0000, 0.5000)
Cl (0.5000, 0.5000, 0.0000)



x:
Below is a relaxed CrTe2Cl crystal, with properties calculated at the PBE-GGA level.

Summary:
For the theoretical density, the calculation gives 5.377 g cm⁻³.

a b c (Å): 5.1661 5.1661 5.1661
angles (deg): 111.30 111.30 105.87
Sites, in units of the cell vectors:
Cr (0.0000, 0.0000, 0.0000)
Te (0.0000, 0.5000, 0.5000)
Te (0.5000, 0.0000, 0.5000)
Cl (0.5000, 0.5000, 0.0000)



y:
Below is a relaxed CrTe2Cl crystal, with properties calculated at the PBE-GGA level.

Summary:
For the theoretical density, the calculation gives 5.068 g cm⁻³.

a b c (Å): 3.2266 3.2266 11.2662
angles (deg): 90.00 90.00 106.81
Sites, in units of the cell vectors:
Cr (0.0000, 0.0000, 0.0000)
Te (0.0000, 0.0000, 0.5029)
Te (0.5000, 0.5000, 0.1739)
Cl (0.5000, 0.5000, 0.8649)



Most stable of them? y.



w:
Below is a relaxed CrTe2Cl crystal, with properties calculated at the PBE-GGA level.

Summary:
For the theoretical density, the calculation gives 6.046 g cm⁻³.

a b c (Å): 5.4005 5.4005 3.2268
angles (deg): 90.00 90.00 90.00
Sites, in units of the cell vectors:
Cr (0.0000, 0.0000, 0.0000)
Te (0.0000, 0.5000, 0.5000)
Te (0.5000, 0.0000, 0.5000)
Cl (0.5000, 0.5000, 0.0000)



x:
Below is a relaxed CrTe2Cl crystal, with properties calculated at the PBE-GGA level.

Summary:
For the theoretical density, the calculation gives 5.711 g cm⁻³.

a b c (Å): 5.7412 5.7412 3.4756
angles (deg): 90.00 90.00 119.58
Sites, in units of the cell vectors:
Cr (0.0000, 0.0000, 0.0000)
Te (0.0000, 0.5000, 0.5000)
Te (0.5000, 0.0000, 0.5000)
Cl (0.5000, 0.5000, 0.0000)



Most stable of them? x.



w:
Below is a relaxed CrTe2Cl crystal, with properties calculated at the PBE-GGA level.

Summary:
For the theoretical density, the calculation gives 5.850 g cm⁻³.

a b c (Å): 5.1621 5.1621 5.1621
angles (deg): 60.00 60.00 60.00
Sites, in units of the cell vectors:
Cr (0.0000, 0.0000, 0.0000)
Te (0.2500, 0.2500, 0.2500)
Te (0.5000, 0.5000, 0.5000)
Cl (0.7500, 0.7500, 0.7500)



x:
Below is a relaxed CrTe2Cl crystal, with properties calculated at the PBE-GGA level.

Summary:
For the theoretical density, the calculation gives 4.341 g cm⁻³.

a b c (Å): 5.0817 3.6963 7.4169
angles (deg): 90.00 109.79 90.00
Sites, in units of the cell vectors:
Cr (0.0000, 0.0000, 0.0000)
Te (0.1384, 0.5000, 0.2802)
Te (0.5854, 0.0000, 0.1731)
Cl (0.8914, 0.5000, 0.7802)



y:
Below is a relaxed CrTe2Cl crystal, with properties calculated at the PBE-GGA level.

Summary:
For the theoretical density, the calculation gives 5.020 g cm⁻³.

a b c (Å): 5.0261 4.2020 5.5582
angles (deg): 90.00 105.06 90.00
Sites, in units of the cell vectors:
Cr (0.0000, 0.0000, 0.0000)
Te (0.1572, 0.5000, 0.3294)
Te (0.8428, 0.5000, 0.6706)
Cl (0.5000, 0.0000, 0.0000)



z:
Below is a relaxed CrTe2Cl crystal, with properties calculated at the PBE-GGA level.

Summary:
For the theoretical density, the calculation gives 4.294 g cm⁻³.

a b c (Å): 7.4952 7.4952 7.4952
angles (deg): 126.19 126.19 79.57
Sites, in units of the cell vectors:
Cr (0.0000, 0.0000, 0.0000)
Cr (0.7500, 0.2500, 0.5000)
Te (0.0452, 0.6250, 0.9202)
Te (0.3750, 0.2952, 0.4202)
Te (0.7048, 0.1250, 0.0798)
Te (0.8750, 0.9548, 0.5798)
Cl (0.2500, 0.7500, 0.5000)
Cl (0.5000, 0.5000, 0.0000)



Most stable of them? y.



w:
Below is a relaxed CrTeCl2 crystal, with properties calculated at the PBE-GGA level.

Summary:
For the theoretical density, the calculation gives 4.386 g cm⁻³.

a b c (Å): 3.3794 3.3794 8.3055
angles (deg): 90.00 90.00 90.00
Sites, in units of the cell vectors:
Cr (0.0000, 0.0000, 0.0000)
Te (0.5000, 0.5000, 0.2088)
Cl (0.0000, 0.0000, 0.4349)
Cl (0.5000, 0.5000, 0.8305)



x:
Below is a relaxed CrTeCl2 crystal, with properties calculated at the PBE-GGA level.

Summary:
For the theoretical density, the calculation gives 4.648 g cm⁻³.

a b c (Å): 3.3323 4.5580 5.8916
angles (deg): 90.00 90.00 90.00
Sites, in units of the cell vectors:
Cr (0.0000, 0.0000, 0.0000)
Te (0.5000, 0.0000, 0.5000)
Cl (0.0000, 0.5000, 0.5000)
Cl (0.5000, 0.5000, 0.0000)



Most stable of them? w.



w:
Below is a relaxed CrTeCl2 crystal, with properties calculated at the PBE-GGA level.

Summary:
For the theoretical density, the calculation gives 3.485 g cm⁻³.

a b c (Å): 7.0191 7.0191 7.0191
angles (deg): 154.05 127.44 59.53
Sites, in units of the cell vectors:
Cr (0.0000, 0.0000, 0.0000)
Te (0.5000, 0.5000, 0.0000)
Cl (0.1420, 0.6420, 0.5000)
Cl (0.8580, 0.3580, 0.5000)



x:
Below is a relaxed CrTeCl2 crystal, with properties calculated at the PBE-GGA level.

Summary:
For the theoretical density, the calculation gives 4.239 g cm⁻³.

a b c (Å): 8.5011 8.5011 8.5011
angles (deg): 25.22 25.22 25.22
Sites, in units of the cell vectors:
Cr (0.0000, 0.0000, 0.0000)
Te (0.2669, 0.2669, 0.2669)
Cl (0.5132, 0.5132, 0.5132)
Cl (0.7190, 0.7190, 0.7190)



Most stable of them? w.



w:
Below is a relaxed TiCr2Cl crystal, with properties calculated at the PBE-GGA level.

Summary:
For the theoretical density, the calculation gives 5.451 g cm⁻³.

a b c (Å): 4.3214 4.3214 4.3214
angles (deg): 60.00 60.00 60.00
Sites, in units of the cell vectors:
Ti (0.0000, 0.0000, 0.0000)
Cr (0.2500, 0.2500, 0.2500)
Cr (0.7500, 0.7500, 0.7500)
Cl (0.5000, 0.5000, 0.5000)



x:
Below is a relaxed TiCr2Cl crystal, with properties calculated at the PBE-GGA level.

Summary:
For the theoretical density, the calculation gives 5.287 g cm⁻³.

a b c (Å): 5.5212 5.5212 5.5212
angles (deg): 100.55 100.55 129.33
Sites, in units of the cell vectors:
Ti (0.0000, 0.0000, 0.0000)
Ti (0.7500, 0.2500, 0.5000)
Cr (0.2081, 0.1250, 0.5831)
Cr (0.3750, 0.7919, 0.9169)
Cr (0.5419, 0.6250, 0.4169)
Cr (0.8750, 0.4581, 0.0831)
Cl (0.2500, 0.7500, 0.5000)
Cl (0.5000, 0.5000, 0.0000)



Most stable of them? x.



w:
Below is a relaxed TlCrCl4 crystal, with properties calculated at the PBE-GGA level.

Summary:
For the theoretical density, the calculation gives 4.221 g cm⁻³.

a b c (Å): 6.0507 6.0507 6.0507
angles (deg): 60.00 60.00 60.00
Sites, in units of the cell vectors:
Tl (0.0000, 0.0000, 0.0000)
Cr (0.2500, 0.2500, 0.2500)
Cl (0.1254, 0.6249, 0.6249)
Cl (0.6249, 0.1254, 0.6249)
Cl (0.6249, 0.6249, 0.1254)
Cl (0.6249, 0.6249, 0.6249)



x:
Below is a relaxed TlCrCl4 crystal, with properties calculated at the PBE-GGA level.

Summary:
For the theoretical density, the calculation gives 4.421 g cm⁻³.

a b c (Å): 8.3562 8.3562 6.5870
angles (deg): 104.57 104.57 42.49
Sites, in units of the cell vectors:
Tl (0.1947, 0.8053, 0.7500)
Tl (0.8053, 0.1947, 0.2500)
Cr (0.0000, 0.5000, 0.0000)
Cr (0.5000, 0.0000, 0.5000)
Cl (0.1363, 0.2684, 0.6636)
Cl (0.2684, 0.1363, 0.1636)
Cl (0.2695, 0.5212, 0.0657)
Cl (0.4788, 0.7305, 0.4343)
Cl (0.5212, 0.2695, 0.5657)
Cl (0.7305, 0.4788, 0.9343)
Cl (0.7316, 0.8637, 0.8364)
Cl (0.8637, 0.7316, 0.3364)



y:
Below is a relaxed TlCrCl4 crystal, with properties calculated at the PBE-GGA level.

Summary:
For the theoretical density, the calculation gives 3.616 g cm⁻³.

a b c (Å): 5.0522 5.0522 7.9522
angles (deg): 108.04 108.04 80.13
Sites, in units of the cell vectors:
Tl (0.0000, 0.0000, 0.0000)
Cr (0.5000, 0.5000, 0.5000)
Cl (0.1866, 0.1866, 0.4293)
Cl (0.4405, 0.4405, 0.1918)
Cl (0.5595, 0.5595, 0.8082)
Cl (0.8134, 0.8134, 0.5707)



Most stable of them? x.



w:
Below is a relaxed TlCrCl2 crystal, with properties calculated at the PBE-GGA level.

Summary:
For the theoretical density, the calculation gives 5.302 g cm⁻³.

a b c (Å): 8.9898 8.9898 8.9898
angles (deg): 158.22 157.64 31.42
Sites, in units of the cell vectors:
Tl (0.0000, 0.0000, 0.0000)
Cr (0.7536, 0.2536, 0.5000)
Cl (0.3259, 0.8259, 0.5000)
Cl (0.6534, 0.6534, 0.0000)



x:
Below is a relaxed TlCrCl2 crystal, with properties calculated at the PBE-GGA level.

Summary:
For the theoretical density, the calculation gives 5.096 g cm⁻³.

a b c (Å): 6.1084 6.1084 6.1084
angles (deg): 147.00 119.27 70.88
Sites, in units of the cell vectors:
Tl (0.0000, 0.0000, 0.0000)
Cr (0.5000, 0.5000, 0.0000)
Cl (0.3326, 0.8326, 0.5000)
Cl (0.6674, 0.1674, 0.5000)



y:
Below is a relaxed TlCrCl2 crystal, with properties calculated at the PBE-GGA level.

Summary:
For the theoretical density, the calculation gives 5.083 g cm⁻³.

a b c (Å): 6.5349 6.5349 6.5349
angles (deg): 107.30 107.30 113.91
Sites, in units of the cell vectors:
Tl (0.0000, 0.0000, 0.0000)
Tl (0.7500, 0.2500, 0.5000)
Cr (0.2500, 0.7500, 0.5000)
Cr (0.5000, 0.5000, 0.0000)
Cl (0.2102, 0.6250, 0.0852)
Cl (0.3750, 0.4602, 0.5852)
Cl (0.5398, 0.1250, 0.9148)
Cl (0.8750, 0.7898, 0.4148)



z:
Below is a relaxed TlCrCl2 crystal, with properties calculated at the PBE-GGA level.

Summary:
For the theoretical density, the calculation gives 5.596 g cm⁻³.

a b c (Å): 5.1594 5.1594 5.1594
angles (deg): 60.00 60.00 60.00
Sites, in units of the cell vectors:
Tl (0.0000, 0.0000, 0.0000)
Cr (0.5000, 0.5000, 0.5000)
Cl (0.2500, 0.2500, 0.2500)
Cl (0.7500, 0.7500, 0.7500)



Most stable of them? x.